(1)
# Hf2BiO | Alexandria via LeMat-Bulk | PBE | relaxed
data_Hf2BiO
_space_group_name_H-M_alt 'P 1'
_space_group_IT_number 1
_space_group_name_Hall 'P 1'
_cell_length_a 6.900
_cell_length_b 6.900
_cell_length_c 6.900
_cell_angle_alpha 131.10
_cell_angle_beta 131.10
_cell_angle_gamma 71.66
loop_
_atom_site_label
_atom_site_fract_x
_atom_site_fract_y
_atom_site_fract_z
Hf1 0.375 0.240 0.365
Hf2 0.760 0.125 0.135
Hf3 0.875 0.010 0.635
Hf4 0.990 0.625 0.865
Bi1 0.250 0.750 0.500
Bi2 0.500 0.500 0.000
O1 0.000 0.000 0.000
O2 0.750 0.250 0.500
# Crystal system: tetragonal
# Symmetry: I-42d (122)
# Raw total energy: -8.1065 eV per atom
# Total magnetic moment: 0.00 μB/cell

***

(2)
# KCu6Cl8 | Alexandria via LeMat-Bulk | PBE | relaxed
data_KCu6Cl8
_space_group_name_H-M_alt 'P 1'
_space_group_IT_number 1
_space_group_name_Hall 'P 1'
_cell_length_a 6.874
_cell_length_b 6.874
_cell_length_c 6.874
_cell_angle_alpha 95.79
_cell_angle_beta 95.79
_cell_angle_gamma 95.79
loop_
_atom_site_label
_atom_site_fract_x
_atom_site_fract_y
_atom_site_fract_z
K1 0.000 0.000 0.000
Cu1 0.236 0.642 0.359
Cu2 0.358 0.641 0.764
Cu3 0.359 0.236 0.642
Cu4 0.641 0.764 0.358
Cu5 0.642 0.359 0.236
Cu6 0.764 0.358 0.641
Cl1 0.108 0.398 0.784
Cl2 0.216 0.892 0.602
Cl3 0.323 0.323 0.323
Cl4 0.398 0.784 0.108
Cl5 0.602 0.216 0.892
Cl6 0.677 0.677 0.677
Cl7 0.784 0.108 0.398
Cl8 0.892 0.602 0.216
# Crystal system: trigonal
# Symmetry: R-3 (148)
# Raw total energy: -3.3500 eV per atom
# Total magnetic moment: 0.80 μB/cell

***

(3)
# ScNiAu2 | Alexandria via LeMat-Bulk | PBE | relaxed
data_ScNiAu2
_space_group_name_H-M_alt 'P 1'
_space_group_IT_number 1
_space_group_name_Hall 'P 1'
_cell_length_a 5.046
_cell_length_b 5.046
_cell_length_c 5.046
_cell_angle_alpha 133.55
_cell_angle_beta 133.55
_cell_angle_gamma 67.79
loop_
_atom_site_label
_atom_site_fract_x
_atom_site_fract_y
_atom_site_fract_z
Sc1 0.000 0.000 0.000
Ni1 0.500 0.500 0.000
Au1 0.250 0.750 0.500
Au2 0.750 0.250 0.500
# Crystal system: tetragonal
# Symmetry: I4/mmm (139)
# Raw total energy: -5.1672 eV per atom
# Total magnetic moment: 0.00 μB/cell

***

(4)
# SrCaAc6 | Alexandria via LeMat-Bulk | PBE | relaxed
data_SrCaAc6
_space_group_name_H-M_alt 'P 1'
_space_group_IT_number 1
_space_group_name_Hall 'P 1'
_cell_length_a 5.651
_cell_length_b 5.651
_cell_length_c 11.312
_cell_angle_alpha 90.00
_cell_angle_beta 90.00
_cell_angle_gamma 90.00
loop_
_atom_site_label
_atom_site_fract_x
_atom_site_fract_y
_atom_site_fract_z
Sr1 0.000 0.000 0.000
Ca1 0.000 0.000 0.500
Ac1 0.000 0.500 0.254
Ac2 0.000 0.500 0.746
Ac3 0.500 0.000 0.254
Ac4 0.500 0.000 0.746
Ac5 0.500 0.500 0.000
Ac6 0.500 0.500 0.500
# Crystal system: tetragonal
# Symmetry: P4/mmm (123)
# Raw total energy: -3.4949 eV per atom
# Total magnetic moment: 0.00 μB/cell

***

(5)
# BaNb2BrO | Alexandria via LeMat-Bulk | PBE | relaxed
data_BaNb2BrO
_space_group_name_H-M_alt 'P 1'
_space_group_IT_number 1
_space_group_name_Hall 'P 1'
_cell_length_a 5.848
_cell_length_b 5.848
_cell_length_c 5.873
_cell_angle_alpha 90.00
_cell_angle_beta 90.00
_cell_angle_gamma 90.00
loop_
_atom_site_label
_atom_site_fract_x
_atom_site_fract_y
_atom_site_fract_z
Ba1 0.000 0.000 0.000
Nb1 0.000 0.500 0.000
Nb2 0.500 0.000 0.000
Br1 0.000 0.000 0.500
O1 0.500 0.500 0.500
# Crystal system: tetragonal
# Symmetry: P4/mmm (123)
# Raw total energy: -3.4429 eV per atom
# Total magnetic moment: 5.69 μB/cell

***

(6)
# Sr2MnBiS5 | Alexandria via LeMat-Bulk | PBE | relaxed
data_Sr2MnBiS5
_space_group_name_H-M_alt 'P 1'
_space_group_IT_number 1
_space_group_name_Hall 'P 1'
_cell_length_a 9.099
_cell_length_b 9.099
_cell_length_c 12.425
_cell_angle_alpha 90.00
_cell_angle_beta 90.00
_cell_angle_gamma 154.19
loop_
_atom_site_label
_atom_site_fract_x
_atom_site_fract_y
_atom_site_fract_z
Sr1 0.115 0.885 0.500
Sr2 0.124 0.876 0.149
Sr3 0.876 0.124 0.649
Sr4 0.885 0.115 0.000
Mn1 0.453 0.547 0.235
Mn2 0.547 0.453 0.735
Bi1 0.201 0.799 0.849
Bi2 0.799 0.201 0.349
S1 0.023 0.977 0.817
S2 0.290 0.710 0.502
S3 0.327 0.673 0.184
S4 0.348 0.652 0.826
S5 0.493 0.507 0.573
S6 0.507 0.493 0.073
S7 0.652 0.348 0.326
S8 0.673 0.327 0.684
S9 0.710 0.290 0.002
S10 0.977 0.023 0.317
# Crystal system: orthorhombic
# Symmetry: Cmc2_1 (36)
# Raw total energy: -5.2946 eV per atom
# Total magnetic moment: 8.00 μB/cell

***

(7)
# SnH2AuS | Alexandria via LeMat-Bulk | PBE | relaxed
data_SnH2AuS
_space_group_name_H-M_alt 'P 1'
_space_group_IT_number 1
_space_group_name_Hall 'P 1'
_cell_length_a 3.738
_cell_length_b 3.738
_cell_length_c 5.660
_cell_angle_alpha 90.00
_cell_angle_beta 90.00
_cell_angle_gamma 90.00
loop_
_atom_site_label
_atom_site_fract_x
_atom_site_fract_y
_atom_site_fract_z
Sn1 0.000 0.000 0.000
H1 0.000 0.500 0.000
H2 0.500 0.000 0.000
Au1 0.000 0.000 0.500
S1 0.500 0.500 0.500
# Crystal system: tetragonal
# Symmetry: P4/mmm (123)
# Raw total energy: -3.3587 eV per atom
# Total magnetic moment: 0.00 μB/cell

***

(8)
# TeAu2Br | Alexandria via LeMat-Bulk | PBE | relaxed
data_TeAu2Br
_space_group_name_H-M_alt 'P 1'
_space_group_IT_number 1
_space_group_name_Hall 'P 1'
_cell_length_a 6.407
_cell_length_b 6.407
_cell_length_c 5.199
_cell_angle_alpha 113.83
_cell_angle_beta 113.83
_cell_angle_gamma 28.44
loop_
_atom_site_label
_atom_site_fract_x
_atom_site_fract_y
_atom_site_fract_z
Te1 0.000 0.000 0.000
Au1 0.271 0.271 0.772
Au2 0.729 0.729 0.228
Br1 0.500 0.500 0.500
# Crystal system: monoclinic
# Symmetry: C2/m (12)
# Raw total energy: -2.5064 eV per atom
# Total magnetic moment: 0.00 μB/cell

***

(9)
# Rb3Cu2SbBr9 | Alexandria via LeMat-Bulk | PBE | relaxed
data_Rb3Cu2SbBr9
_space_group_name_H-M_alt 'P 1'
_space_group_IT_number 1
_space_group_name_Hall 'P 1'
_cell_length_a 7.615
_cell_length_b 7.615
_cell_length_c 9.389
_cell_angle_alpha 90.00
_cell_angle_beta 90.00
_cell_angle_gamma 120.00
loop_
_atom_site_label
_atom_site_fract_x
_atom_site_fract_y
_atom_site_fract_z
Rb1 0.000 0.000 0.000
Rb2 0.333 0.667 0.684
Rb3 0.667 0.333 0.316
Cu1 0.333 0.667 0.142
Cu2 0.667 0.333 0.858
Sb1 0.000 0.000 0.500
Br1 0.000 0.500 0.000
Br2 0.172 0.344 0.326
Br3 0.172 0.828 0.326
Br4 0.344 0.172 0.674
Br5 0.500 0.000 0.000
Br6 0.500 0.500 0.000
Br7 0.656 0.828 0.326
Br8 0.828 0.172 0.674
Br9 0.828 0.656 0.674
# Crystal system: trigonal
# Symmetry: P-3m1 (164)
# Raw total energy: -2.9722 eV per atom
# Total magnetic moment: 0.00 μB/cell

***

(10)
# YRhPb2 | Alexandria via LeMat-Bulk | PBE | relaxed
data_YRhPb2
_space_group_name_H-M_alt 'P 1'
_space_group_IT_number 1
_space_group_name_Hall 'P 1'
_cell_length_a 4.544
_cell_length_b 4.544
_cell_length_c 4.542
_cell_angle_alpha 90.00
_cell_angle_beta 90.00
_cell_angle_gamma 90.00
loop_
_atom_site_label
_atom_site_fract_x
_atom_site_fract_y
_atom_site_fract_z
Y1 0.000 0.000 0.000
Rh1 0.500 0.500 0.000
Pb1 0.000 0.500 0.500
Pb2 0.500 0.000 0.500
# Crystal system: tetragonal
# Symmetry: P4/mmm (123)
# Raw total energy: -5.5671 eV per atom
# Total magnetic moment: 0.00 μB/cell

***

(11)
# Rb2HgTe2 | Alexandria via LeMat-Bulk | PBE | relaxed
data_Rb2HgTe2
_space_group_name_H-M_alt 'P 1'
_space_group_IT_number 1
_space_group_name_Hall 'P 1'
_cell_length_a 8.364
_cell_length_b 8.364
_cell_length_c 8.992
_cell_angle_alpha 102.97
_cell_angle_beta 102.97
_cell_angle_gamma 52.17
loop_
_atom_site_label
_atom_site_fract_x
_atom_site_fract_y
_atom_site_fract_z
Rb1 0.112 0.621 0.826
Rb2 0.379 0.888 0.674
Rb3 0.621 0.112 0.326
Rb4 0.888 0.379 0.174
Hg1 0.256 0.744 0.250
Hg2 0.744 0.256 0.750
Te1 0.130 0.622 0.415
Te2 0.378 0.870 0.085
Te3 0.622 0.130 0.915
Te4 0.870 0.378 0.585
# Crystal system: monoclinic
# Symmetry: C2/c (15)
# Raw total energy: -2.4477 eV per atom
# Total magnetic moment: 0.00 μB/cell

***

(12)
# Y2BeCo | Alexandria via LeMat-Bulk | PBE | relaxed
data_Y2BeCo
_space_group_name_H-M_alt 'P 1'
_space_group_IT_number 1
_space_group_name_Hall 'P 1'
_cell_length_a 3.809
_cell_length_b 3.809
_cell_length_c 7.248
_cell_angle_alpha 105.27
_cell_angle_beta 105.27
_cell_angle_gamma 60.07
loop_
_atom_site_label
_atom_site_fract_x
_atom_site_fract_y
_atom_site_fract_z
Y1 0.000 0.000 0.000
Y2 0.176 0.176 0.528
Be1 0.421 0.421 0.264
Co1 0.755 0.755 0.266
# Crystal system: monoclinic
# Symmetry: Cm (8)
# Raw total energy: -6.0979 eV per atom
# Total magnetic moment: 0.00 μB/cell

***

| no. | calculated density (g cm⁻³) | DOS at the Fermi energy (states/eV/f.u.) |
| --- | --- | --- |
| 1 | 10.590 | 2.4 |
| 2 | 3.659 | 16.0 |
| 3 | 12.457 | 2.0 |
| 4 | 6.848 | 13.9 |
| 5 | 3.464 | 9.6 |
| 6 | 4.446 | 3.0 |
| 7 | 7.344 | 1.7 |
| 8 | 10.810 | 1.4 |
| 9 | 4.312 | 6.3 |
| 10 | 10.732 | 2.0 |
| 11 | 4.326 | 0.0 |
| 12 | 4.700 | 4.7 |